No. 1
## Cs2CdHF (PBE)

Data for crystalline Cs2CdHF at its relaxed geometry.

Summary:
calculated density: 3.5 g/cm3
raw total energy: -2.384 eV per atom

Cell: 5.924 5.924 5.428 Å, 90.00 90.00 90.00°
Sites, in units of the cell vectors:
Cs 0.000 0.500 0.000
Cs 0.500 0.000 0.000
Cd 0.000 0.000 0.500
H 0.500 0.500 0.500
F 0.000 0.000 0.000

No. 2
## CsCdHF2 (PBE)

Data for crystalline CsCdHF2 at its relaxed geometry.

Summary:
calculated density: 5.3 g/cm3
raw total energy: -3.453 eV per atom

Cell: 4.812 4.812 3.884 Å, 90.00 90.00 90.00°
Sites, in units of the cell vectors:
Cs 0.000 0.000 0.000
Cd 0.500 0.500 0.500
H 0.500 0.500 0.000
F 0.000 0.500 0.500
F 0.500 0.000 0.500